*w*
Compound: YAgNO
Source: the Open Quantum Materials Database
Functional: GGA-PBE
Structure: optimized geometry

The structure in extended XYZ format:
```
8
Lattice="3.9246 0.0000 0.0000 0.0000 6.2147 0.0000 0.0000 0.0000 5.6259" Properties=species:S:1:pos:R:3 pbc="T T T"
Y 0.0000 1.1791 0.0000
Y 0.0000 5.0356 2.8129
Ag 1.9623 2.1590 2.8121
Ag 1.9623 4.0557 5.6251
N 1.9623 2.0260 4.9501
N 1.9623 4.1888 2.1371
O 0.0000 0.8635 2.1406
O 0.0000 5.3512 4.9535
```

Properties
**SG**: Pmc2_1, No. 26
**Spin magnetization**: 0.9 μB per formula unit
**ρ**: 5.49 g/cm³
**V**: 69 Å³/f.u.


*x*
Compound: YAgNO
Source: the Open Quantum Materials Database
Functional: GGA-PBE
Structure: optimized geometry

The structure in extended XYZ format:
```
8
Lattice="3.7490 0.0000 0.0000 0.0000 6.2165 0.0000 0.0000 0.0000 5.5955" Properties=species:S:1:pos:R:3 pbc="T T T"
Y 0.0000 1.2461 0.0000
Y 0.0000 4.9704 2.7977
Ag 1.8745 1.7531 2.7367
Ag 1.8745 4.4634 5.5345
N 0.0000 0.9396 2.2653
N 0.0000 5.2769 5.0631
O 1.8745 2.1689 5.0663
O 1.8745 4.0476 2.2686
```

Properties
**SG**: Pmc2_1, No. 26
**Spin magnetization**: 0.0 μB per formula unit
**ρ**: 5.78 g/cm³
**V**: 65 Å³/f.u.


Which structure is the least stable? The one labeled *w*.


*w*
Compound: YAgNO
Source: the Open Quantum Materials Database
Functional: GGA-PBE
Structure: optimized geometry

The structure in extended XYZ format:
```
8
Lattice="3.8626 0.0000 0.0000 0.0000 3.8626 0.0000 0.0000 0.0000 7.6865" Properties=species:S:1:pos:R:3 pbc="T T T"
Y 0.9657 0.9657 1.1164
Y 2.8970 2.8970 6.5701
Ag 0.9657 2.8970 3.8432
Ag 2.8970 0.9657 3.8432
N 0.9657 0.9657 5.2135
N 2.8970 2.8970 2.4730
O 0.9657 2.8970 0.0000
O 2.8970 0.9657 0.0000
```

Properties
**SG**: P4/nmm, No. 129
**Spin magnetization**: 1.0 μB per formula unit
**ρ**: 6.57 g/cm³
**V**: 57 Å³/f.u.


*x*
Compound: YAgNO
Source: the Open Quantum Materials Database
Functional: GGA-PBE
Structure: optimized geometry

The structure in extended XYZ format:
```
8
Lattice="4.8774 0.0000 0.0000 0.0000 4.8774 0.0000 0.0000 0.0000 4.5406" Properties=species:S:1:pos:R:3 pbc="T T T"
Y 1.2194 3.6581 0.0000
Y 3.6581 1.2194 0.0000
Ag 1.2194 1.2194 2.2604
Ag 3.6581 3.6581 2.2802
N 1.2194 1.2194 4.5314
N 3.6581 3.6581 0.0091
O 1.2194 3.6581 2.2703
O 3.6581 1.2194 2.2703
```

Properties
**SG**: P4/nmm, No. 129
**Spin magnetization**: 0.0 μB per formula unit
**ρ**: 6.97 g/cm³
**V**: 54 Å³/f.u.


Which structure is the least stable? The one labeled *w*.


*w*
Compound: Na5Ag2
Source: the Open Quantum Materials Database
Functional: GGA-PBE
Structure: optimized geometry

The structure in extended XYZ format:
```
14
Lattice="4.9403 -2.8804 0.0000 4.9403 2.8804 0.0000 -0.0483 0.0000 11.9922" Properties=species:S:1:pos:R:3 pbc="T T T"
Na 0.2449 0.0000 1.4770
Na 1.0080 0.0000 7.3298
Na 3.0386 0.0000 10.9464
Na 3.5130 0.0000 5.4589
Na 3.6660 0.0000 2.3346
Na 6.1664 0.0000 9.6577
Na 6.3194 0.0000 6.5333
Na 6.7938 0.0000 1.0458
Na 8.8244 0.0000 4.6625
Na 9.5875 0.0000 10.5153
Ag 3.5644 1.4167 8.1714
Ag 6.2680 1.4167 3.8208
Ag 3.5644 -1.4167 8.1714
Ag 6.2680 -1.4167 3.8208
```

Properties
**SG**: C2/m, No. 12
**ρ**: 3.22 g/cm³
**V**: 171 Å³/f.u.


*x*
Compound: Na5Ag2
Source: the Open Quantum Materials Database
Functional: GGA-PBE
Structure: optimized geometry

The structure in extended XYZ format:
```
7
Lattice="2.5290 1.4601 7.2391 -2.5290 1.4601 7.2391 0.0000 -2.9202 7.2391" Properties=species:S:1:pos:R:3 pbc="T T T"
Na 0.0000 0.0000 0.0000
Na 0.0000 0.0000 3.1435
Na 0.0000 0.0000 6.2361
Na 0.0000 0.0000 15.4812
Na 0.0000 0.0000 18.5738
Ag 0.0000 0.0000 9.3973
Ag 0.0000 0.0000 12.3199
```

Properties
**SG**: R-3m, No. 166
**ρ**: 3.42 g/cm³
**V**: 160 Å³/f.u.


Which structure is the least stable? The one labeled *x*.


*w*
Compound: Na2Ag2O5
Source: the Open Quantum Materials Database
Functional: GGA-PBE
Structure: optimized geometry

The structure in extended XYZ format:
```
9
Lattice="4.2152 0.0000 0.0000 0.0000 4.2152 0.0000 0.0000 0.0000 7.6197" Properties=species:S:1:pos:R:3 pbc="T T T"
Na 0.0000 0.0000 1.6837
Na 0.0000 0.0000 5.9361
Ag 2.1076 2.1076 0.0000
Ag 2.1076 2.1076 3.8099
O 0.0000 0.0000 3.8099
O 0.0000 2.1076 0.7238
O 0.0000 2.1076 6.8959
O 2.1076 0.0000 0.7238
O 2.1076 0.0000 6.8959
```

Properties
**SG**: P4/mmm, No. 123
**ρ**: 4.19 g/cm³
**V**: 135 Å³/f.u.


*x*
Compound: Na2Ag2O5
Source: the Open Quantum Materials Database
Functional: GGA-PBE
Structure: optimized geometry

The structure in extended XYZ format:
```
9
Lattice="3.9070 0.0000 0.0000 0.0000 3.9070 0.0000 0.0000 0.0000 8.0706" Properties=species:S:1:pos:R:3 pbc="T T T"
Na 0.0000 0.0000 0.0000
Na 0.0000 0.0000 4.0353
Ag 1.9535 1.9535 1.9671
Ag 1.9535 1.9535 6.1036
O 0.0000 1.9535 1.5038
O 0.0000 1.9535 6.5669
O 1.9535 0.0000 1.5038
O 1.9535 0.0000 6.5669
O 1.9535 1.9535 4.0353
```

Properties
**SG**: P4/mmm, No. 123
**ρ**: 4.61 g/cm³
**V**: 123 Å³/f.u.


Which structure is the least stable? The one labeled *w*.


*w*
Compound: NaZrAgSeS2
Source: the Open Quantum Materials Database
Functional: GGA-PBE
Structure: optimized geometry

The structure in extended XYZ format:
```
12
Lattice="1.8925 -6.8106 0.0000 1.8925 6.8106 0.0000 0.0000 0.0000 10.3177" Properties=species:S:1:pos:R:3 pbc="T T T"
Na 1.8925 3.4668 7.7383
Na 1.8925 -3.4668 2.5794
Zr 0.0000 0.0000 0.0000
Zr 0.0000 0.0000 5.1589
Ag 1.8925 0.6888 2.5794
Ag 1.8925 -0.6888 7.7383
Se 1.8925 5.6399 2.5794
Se 1.8925 -5.6399 7.7383
S 1.8925 1.7635 0.3931
S 1.8925 1.7635 4.7658
S 1.8925 -1.7635 5.5519
S 1.8925 -1.7635 9.9247
```

Properties
**SG**: Cmcm, No. 63
**Spin magnetization**: 0.0 μB per formula unit
**ρ**: 4.56 g/cm³
**V**: 133 Å³/f.u.


*x*
Compound: NaZrAgSeS2
Source: the Open Quantum Materials Database
Functional: GGA-PBE
Structure: optimized geometry

The structure in extended XYZ format:
```
12
Lattice="7.6416 0.0000 0.0000 0.0000 3.8648 0.0000 -2.4716 0.0000 9.1979" Properties=species:S:1:pos:R:3 pbc="T T T"
Na 1.3596 0.9662 1.7366
Na 3.8104 2.8986 7.4613
Zr -0.1750 2.8986 6.1390
Zr 5.3450 0.9662 3.0589
Ag 1.0294 0.9662 8.2402
Ag 4.1406 2.8986 0.9578
Se -0.3151 2.8986 3.3248
Se 5.4851 0.9662 5.8731
S -0.6485 2.8986 8.6669
S 1.5028 0.9662 5.8263
S 3.6672 2.8986 3.3716
S 5.8185 0.9662 0.5310
```

Properties
**SG**: P2_1/m, No. 11
**Spin magnetization**: 0.0 μB per formula unit
**ρ**: 4.46 g/cm³
**V**: 136 Å³/f.u.


Which structure is the least stable? The one labeled *w*.


*w*
Compound: NaAg3SnS4
Source: the Open Quantum Materials Database
Functional: GGA-PBE
Structure: optimized geometry

The structure in extended XYZ format:
```
18
Lattice="6.4984 0.0000 0.0000 0.0000 7.7303 0.0000 -3.0966 0.0000 10.0558" Properties=species:S:1:pos:R:3 pbc="T T T"
Na -0.1048 1.9326 1.3941
Na 3.5067 5.7977 8.6617
Ag 0.3003 0.4249 5.4590
Ag 0.3003 3.4403 5.4590
Ag 0.5067 1.9326 8.0655
Ag 2.8951 5.7977 1.9903
Ag 3.1015 4.2901 4.5968
Ag 3.1015 7.3054 4.5968
Sn -0.2030 5.7977 2.8829
Sn 3.6048 1.9326 7.1729
S -1.3440 5.7977 5.0515
S -1.6342 1.9326 9.1905
S 1.2968 0.0000 2.8602
S 1.2968 3.8652 2.8602
S 2.1050 0.0000 7.1956
S 2.1050 3.8652 7.1956
S 5.0360 5.7977 0.8653
S 4.7458 1.9326 5.0043
```

Properties
**SG**: P2_1/m, No. 11
**ρ**: 3.90 g/cm³
**V**: 253 Å³/f.u.


*x*
Compound: NaAg3SnS4
Source: the Open Quantum Materials Database
Functional: GGA-PBE
Structure: optimized geometry

The structure in extended XYZ format:
```
9
Lattice="6.2782 0.0000 0.0000 0.0000 6.2782 0.0000 0.0000 0.0000 6.2782" Properties=species:S:1:pos:R:3 pbc="T T T"
Na 0.0000 0.0000 0.0000
Ag 0.0000 3.1391 3.1391
Ag 3.1391 0.0000 3.1391
Ag 3.1391 3.1391 0.0000
Sn 3.1391 3.1391 3.1391
S 1.7233 1.7233 1.7233
S 1.7233 4.5548 4.5548
S 4.5548 1.7233 4.5548
S 4.5548 4.5548 1.7233
```

Properties
**SG**: P-43m, No. 215
**ρ**: 3.98 g/cm³
**V**: 247 Å³/f.u.


Which structure is the least stable? The one labeled *x*.


*w*
Compound: NaTbAg3S4
Source: the Open Quantum Materials Database
Functional: GGA-PBE
Structure: optimized geometry

The structure in extended XYZ format:
```
18
Lattice="6.3577 0.0000 0.0000 0.0000 7.8526 0.0000 -2.4721 0.0000 9.9137" Properties=species:S:1:pos:R:3 pbc="T T T"
Na 0.4024 1.9631 1.8281
Na 3.4832 5.8894 8.0857
Tb 0.0451 1.9631 6.9223
Tb 3.8405 5.8894 2.9914
Ag 0.7609 5.8894 2.0760
Ag 0.4282 4.4246 4.6775
Ag 0.4282 7.3543 4.6775
Ag 3.4575 0.4983 5.2363
Ag 3.4575 3.4280 5.2363
Ag 3.1247 1.9631 7.8378
S -0.9952 1.9631 4.4250
S -1.2639 1.9631 9.1485
S 2.1472 0.0271 2.8885
S 2.1472 3.8992 2.8885
S 1.7384 3.9534 7.0253
S 1.7384 7.8255 7.0253
S 5.1495 5.8894 0.7652
S 4.8808 5.8894 5.4887
```

Properties
**SG**: P2_1/m, No. 11
**Spin magnetization**: 0.6 μB per formula unit
**ρ**: 4.25 g/cm³
**V**: 247 Å³/f.u.


*x*
Compound: NaTbAg3S4
Source: the Open Quantum Materials Database
Functional: GGA-PBE
Structure: optimized geometry

The structure in extended XYZ format:
```
9
Lattice="6.2023 0.0000 0.0000 0.0000 6.2023 0.0000 0.0000 0.0000 6.2023" Properties=species:S:1:pos:R:3 pbc="T T T"
Na 0.0000 0.0000 0.0000
Tb 3.1011 3.1011 3.1011
Ag 0.0000 3.1011 3.1011
Ag 3.1011 0.0000 3.1011
Ag 3.1011 3.1011 0.0000
S 1.6116 1.6116 1.6116
S 1.6116 4.5907 4.5907
S 4.5907 1.6116 4.5907
S 4.5907 4.5907 1.6116
```

Properties
**SG**: P-43m, No. 215
**Spin magnetization**: 0.4 μB per formula unit
**ρ**: 4.41 g/cm³
**V**: 239 Å³/f.u.


Which structure is the least stable? The one labeled *w*.


*w*
Compound: NaTcAgS3
Source: the Open Quantum Materials Database
Functional: GGA-PBE
Structure: optimized geometry

The structure in extended XYZ format:
```
24
Lattice="14.2220 0.0000 0.0000 0.0000 3.4485 0.0000 0.0000 0.0000 9.4383" Properties=species:S:1:pos:R:3 pbc="T T T"
Na 1.5614 0.8621 0.0314
Na 5.5496 2.5863 4.7506
Na 8.6724 0.8621 4.6877
Na 12.6606 2.5863 9.4069
Tc 0.4125 2.5863 3.6570
Tc 6.6985 0.8621 8.3762
Tc 7.5235 2.5863 1.0622
Tc 13.8095 0.8621 5.7813
Ag 2.9875 2.5863 7.1054
Ag 4.1235 0.8621 2.3863
Ag 10.0986 2.5863 7.0521
Ag 11.2345 0.8621 2.3329
S 0.5351 2.5863 7.3734
S 1.6427 0.8621 4.7388
S 2.3220 2.5863 2.0620
S 4.7890 0.8621 6.7812
S 5.4683 2.5863 0.0196
S 6.5759 0.8621 2.6542
S 7.6461 2.5863 6.7841
S 8.7537 0.8621 9.4187
S 9.4330 2.5863 2.6572
S 11.9001 0.8621 7.3763
S 12.5793 2.5863 4.6995
S 13.6869 0.8621 2.0650
```

Properties
**SG**: Pnma, No. 62
**Spin magnetization**: 0.7 μB per formula unit
**ρ**: 4.66 g/cm³
**V**: 116 Å³/f.u.


*x*
Compound: NaTcAgS3
Source: the Open Quantum Materials Database
Functional: GGA-PBE
Structure: optimized geometry

The structure in extended XYZ format:
```
12
Lattice="1.6864 -6.8947 0.0000 1.6864 6.8947 0.0000 0.0000 0.0000 9.7149" Properties=species:S:1:pos:R:3 pbc="T T T"
Na 1.6864 3.6067 7.2862
Na 1.6864 -3.6067 2.4287
Tc 1.6864 0.0000 0.0000
Tc 1.6864 0.0000 4.8575
Ag 1.6864 5.8953 2.4287
Ag 1.6864 -5.8953 7.2862
S 1.6864 5.1389 0.1634
S 1.6864 5.1389 4.6940
S 1.6864 0.9678 2.4287
S 1.6864 -0.9678 7.2862
S 1.6864 -5.1389 5.0209
S 1.6864 -5.1389 9.5515
```

Properties
**SG**: Cmcm, No. 63
**Spin magnetization**: 2.5 μB per formula unit
**ρ**: 4.78 g/cm³
**V**: 113 Å³/f.u.


Which structure is the least stable? The one labeled *x*.